Below is V4FeW3 after structural relaxation, with properties calculated at the PBE-GGA level.

Output
V	112.6	Å³/cell
symmetry	P4/mmm
formation energy	-76	meV/atom
energy	-10.551	eV per atom

Unit cell a=3.0453 b=3.0453 c=12.1389 alpha=90.00 beta=90.00 gamma=90.00
Positions (direct):
V 0.0000 0.0000 0.1163
V 0.0000 0.0000 0.3708
V 0.0000 0.0000 0.6292
V 0.0000 0.0000 0.8837
Fe 0.5000 0.5000 0.0000
W 0.5000 0.5000 0.2432
W 0.5000 0.5000 0.5000
W 0.5000 0.5000 0.7568